{"formula": "Ba2TiMnAu", "functional": "GGA-PBE", "state": "relaxed", "cell": [[6.346, 0.000, 0.000], [0.000, 6.346, 0.000], [0.000, 0.000, 5.090]], "species": ["Ba", "Ba", "Ti", "Mn", "Au"], "fractional_positions": [[0.000, 0.500, 0.000], [0.500, 0.000, 0.000], [0.000, 0.000, 0.500], [0.500, 0.500, 0.500], [0.000, 0.000, 0.000]], "formation_enthalpy_0k_mev_per_atom": 560, "total_magnetization_mub_per_cell": 6.61, "space_group": "P4/mmm, No. 123"}

=====

{"formula": "K2MnSi", "functional": "GGA-PBE", "state": "relaxed", "cell": [[3.160, 0.000, 0.000], [0.000, 3.160, 0.000], [0.000, 0.000, 11.434]], "species": ["K", "K", "Mn", "Si"], "fractional_positions": [[0.000, 0.000, 0.225], [0.000, 0.000, 0.775], [0.500, 0.500, 0.500], [0.500, 0.500, 0.000]], "relative_energy_ev_per_fu": 2.44, "total_magnetization_mub_per_cell": 4.18, "formation_energy_uncorrected_ev_per_atom": 0.873, "space_group": "P4/mmm, No. 123"}

=====

{"formula": "Ge2RhSe6", "functional": "GGA-PBE", "state": "relaxed", "cell": [[5.971, -5.544, 0.000], [5.971, 5.544, 0.000], [-1.256, 0.000, 6.387]], "species": ["Ge", "Ge", "Ge", "Ge", "Rh", "Rh", "Se", "Se", "Se", "Se", "Se", "Se", "Se", "Se", "Se", "Se", "Se", "Se"], "fractional_positions": [[0.105, 0.274, 0.336], [0.274, 0.105, 0.836], [0.726, 0.895, 0.164], [0.895, 0.726, 0.664], [0.404, 0.596, 0.750], [0.596, 0.404, 0.250], [0.015, 0.214, 0.655], [0.130, 0.618, 0.883], [0.214, 0.015, 0.155], [0.311, 0.487, 0.372], [0.382, 0.870, 0.617], [0.487, 0.311, 0.872], [0.513, 0.689, 0.128], [0.618, 0.130, 0.383], [0.689, 0.513, 0.628], [0.786, 0.985, 0.845], [0.870, 0.382, 0.117], [0.985, 0.786, 0.345]], "total_magnetization_mub_per_cell": 0.00, "formation_energy_uncorrected_ev_per_atom": -0.195, "space_group": "C2/c, No. 15"}

=====

{"formula": "CsFeNiCl6", "functional": "GGA-PBE", "state": "relaxed", "cell": [[6.312, 0.000, 0.000], [-3.156, 5.466, 0.000], [0.000, 0.000, 7.820]], "species": ["Cs", "Fe", "Ni", "Cl", "Cl", "Cl", "Cl", "Cl", "Cl"], "fractional_positions": [[0.000, 0.000, 0.000], [0.667, 0.333, 0.500], [0.333, 0.667, 0.500], [0.001, 0.377, 0.675], [0.001, 0.624, 0.325], [0.376, 0.377, 0.325], [0.376, 0.999, 0.675], [0.623, 0.624, 0.675], [0.623, 0.999, 0.325]], "total_magnetization_mub_per_cell": 6.94, "formation_energy_uncorrected_ev_per_atom": -0.976, "space_group": "P312, No. 149"}

=====

{"formula": "SrAl3Tc", "functional": "GGA-PBE", "state": "relaxed", "cell": [[3.178, -6.372, 0.000], [3.178, 6.372, 0.000], [0.000, 0.000, 4.950]], "species": ["Sr", "Sr", "Al", "Al", "Al", "Al", "Al", "Al", "Tc", "Tc"], "fractional_positions": [[0.093, 0.907, 0.750], [0.907, 0.093, 0.250], [0.108, 0.474, 0.750], [0.474, 0.108, 0.250], [0.500, 0.500, 0.000], [0.500, 0.500, 0.500], [0.526, 0.892, 0.750], [0.892, 0.526, 0.250], [0.324, 0.676, 0.250], [0.676, 0.324, 0.750]], "formation_enthalpy_0k_mev_per_atom": -204, "relative_energy_ev_per_fu": 0.59, "total_magnetization_mub_per_cell": 0.00, "space_group": "Cmcm, No. 63"}

=====

{"formula": "Ce2IrO2", "functional": "GGA-PBE", "state": "relaxed", "cell": [[0.000, 4.679, 5.110], [3.841, 0.000, 5.110], [3.841, 4.679, 0.000]], "species": ["Ce", "Ce", "Ce", "Ce", "Ir", "Ir", "O", "O", "O", "O"], "fractional_positions": [[0.086, 0.664, 0.086], [0.336, 0.914, 0.336], [0.664, 0.086, 0.664], [0.914, 0.336, 0.914], [0.375, 0.375, 0.375], [0.625, 0.625, 0.625], [0.006, 0.006, 0.744], [0.256, 0.256, 0.994], [0.744, 0.744, 0.006], [0.994, 0.994, 0.256]], "total_magnetization_mub_per_cell": 1.66, "formation_energy_uncorrected_ev_per_atom": -2.210, "space_group": "Fddd, No. 70"}

=====

{"formula": "RbCd12In7", "functional": "GGA-PBE", "state": "relaxed", "cell": [[7.728, 4.462, 2.605], [-7.728, 4.462, 2.605], [0.000, -8.924, 2.605]], "species": ["Rb", "Cd", "Cd", "Cd", "Cd", "Cd", "Cd", "Cd", "Cd", "Cd", "Cd", "Cd", "Cd", "In", "In", "In", "In", "In", "In", "In"], "fractional_positions": [[0.000, 0.000, 0.000], [0.000, 0.262, 0.738], [0.000, 0.738, 0.262], [0.052, 0.394, 0.394], [0.262, 0.000, 0.738], [0.262, 0.738, 0.000], [0.394, 0.052, 0.394], [0.394, 0.394, 0.052], [0.606, 0.606, 0.948], [0.606, 0.948, 0.606], [0.738, 0.000, 0.262], [0.738, 0.262, 0.000], [0.948, 0.606, 0.606], [0.212, 0.212, 0.556], [0.212, 0.556, 0.212], [0.444, 0.788, 0.788], [0.500, 0.500, 0.500], [0.556, 0.212, 0.212], [0.788, 0.444, 0.788], [0.788, 0.788, 0.444]], "formation_enthalpy_0k_mev_per_atom": 32, "total_magnetization_mub_per_cell": 0.00, "space_group": "R-3m, No. 166"}

=====

{"formula": "RbNdCuS2", "functional": "GGA-PBE", "state": "relaxed", "cell": [[7.761, 0.000, 0.000], [0.000, 4.723, 0.000], [-1.512, 0.000, 8.041]], "species": ["Rb", "Rb", "Nd", "Nd", "Cu", "Cu", "S", "S", "S", "S"], "fractional_positions": [[0.000, 0.181, 0.250], [0.000, 0.819, 0.750], [0.500, 0.491, 0.750], [0.500, 0.509, 0.250], [0.500, 0.000, 0.000], [0.500, 0.000, 0.500], [0.277, 0.301, 0.964], [0.277, 0.699, 0.464], [0.723, 0.301, 0.536], [0.723, 0.699, 0.036]], "total_magnetization_mub_per_cell": 0.00, "formation_energy_uncorrected_ev_per_atom": -1.083, "space_group": "P2/c, No. 13"}

=====

{"formula": "Y2MnCo", "functional": "GGA-PBE", "state": "relaxed", "cell": [[6.719, 0.000, 0.000], [0.000, 6.719, 0.000], [0.000, 0.000, 6.719]], "species": ["Y", "Y", "Y", "Y", "Y", "Y", "Y", "Y", "Mn", "Mn", "Mn", "Mn", "Co", "Co", "Co", "Co"], "fractional_positions": [[0.250, 0.250, 0.250], [0.250, 0.250, 0.750], [0.250, 0.750, 0.250], [0.250, 0.750, 0.750], [0.750, 0.250, 0.250], [0.750, 0.250, 0.750], [0.750, 0.750, 0.250], [0.750, 0.750, 0.750], [0.000, 0.000, 0.000], [0.000, 0.500, 0.500], [0.500, 0.000, 0.500], [0.500, 0.500, 0.000], [0.000, 0.000, 0.500], [0.000, 0.500, 0.000], [0.500, 0.000, 0.000], [0.500, 0.500, 0.500]], "formation_enthalpy_0k_mev_per_atom": 284, "relative_energy_ev_per_fu": 1.37, "total_magnetization_mub_per_cell": 0.00, "space_group": "Fm-3m, No. 225"}

=====

{"formula": "RbMg4Sn2", "functional": "GGA-PBE", "state": "relaxed", "cell": [[9.168, 0.000, 0.000], [0.000, 9.168, 0.000], [0.000, 0.000, 4.752]], "species": ["Rb", "Rb", "Mg", "Mg", "Mg", "Mg", "Mg", "Mg", "Mg", "Mg", "Sn", "Sn", "Sn", "Sn"], "fractional_positions": [[0.000, 0.000, 0.000], [0.500, 0.500, 0.500], [0.084, 0.334, 0.500], [0.166, 0.584, 0.000], [0.334, 0.084, 0.500], [0.416, 0.834, 0.000], [0.584, 0.166, 0.000], [0.666, 0.916, 0.500], [0.834, 0.416, 0.000], [0.916, 0.666, 0.500], [0.224, 0.776, 0.500], [0.276, 0.276, 0.000], [0.724, 0.724, 0.000], [0.776, 0.224, 0.500]], "formation_enthalpy_0k_mev_per_atom": -127, "total_magnetization_mub_per_cell": 0.00, "space_group": "P4_2/mnm, No. 136"}

=====

{"formula": "HIrAu2", "functional": "GGA-PBE", "state": "relaxed", "cell": [[6.241, 0.000, 0.000], [0.000, 6.241, 0.000], [0.000, 0.000, 5.709]], "species": ["H", "H", "H", "H", "Ir", "Ir", "Ir", "Ir", "Au", "Au", "Au", "Au", "Au", "Au", "Au", "Au"], "fractional_positions": [[0.000, 0.000, 0.000], [0.000, 0.500, 0.250], [0.500, 0.000, 0.750], [0.500, 0.500, 0.500], [0.000, 0.000, 0.500], [0.000, 0.500, 0.750], [0.500, 0.000, 0.250], [0.500, 0.500, 0.000], [0.155, 0.250, 0.125], [0.250, 0.655, 0.375], [0.250, 0.845, 0.875], [0.345, 0.250, 0.625], [0.655, 0.750, 0.625], [0.750, 0.155, 0.875], [0.750, 0.345, 0.375], [0.845, 0.750, 0.125]], "relative_energy_ev_per_fu": 0.00, "total_magnetization_mub_per_cell": 0.00, "space_group": "I-42d, No. 122"}

=====

{"formula": "KAlF4", "functional": "GGA-PBE", "state": "relaxed", "cell": [[1.882, -7.966, 0.000], [1.882, 7.966, 0.000], [0.000, 0.000, 5.740]], "species": ["K", "K", "Al", "Al", "F", "F", "F", "F", "F", "F", "F", "F"], "fractional_positions": [[0.187, 0.813, 0.500], [0.813, 0.187, 0.000], [0.423, 0.577, 0.500], [0.577, 0.423, 0.000], [0.069, 0.931, 0.001], [0.342, 0.658, 0.286], [0.342, 0.658, 0.714], [0.500, 0.500, 0.251], [0.500, 0.500, 0.751], [0.658, 0.342, 0.214], [0.658, 0.342, 0.786], [0.931, 0.069, 0.501]], "total_magnetization_mub_per_cell": 0.00, "formation_energy_uncorrected_ev_per_atom": -3.336, "space_group": "Cmc2_1, No. 36"}

=====

no.,V (Å³ per cell),electronic total energy (eV/atom),density (Mg/m³)
1,205.0,-4.278,4.7
2,114.2,-3.324,2.3
3,422.8,-4.361,5.7
4,269.8,-3.885,2.8
5,200.5,-4.860,4.4
6,183.6,-8.339,9.1
7,538.9,-1.524,6.9
8,294.7,-4.701,4.0
9,303.3,-7.017,6.4
10,399.4,-2.320,3.5
11,222.4,-4.064,17.5
12,172.1,-5.390,2.7